First-principles (PBE with a Hubbard U) data for a relaxed NiBi2BrF crystal, as listed in Alexandria via LeMat-Bulk.

Results
ΔE to the lowest computed polymorph   116 meV/atom
Uncorrected energy   -2.70 eV/atom
SG   No. 123
N(E_F)   1.76 states/eV per cell
M_tot   0.0 μB per formula unit

The structure in POSCAR format:
```
NiBi2BrF
1.0
-3.8636 -2.9107 -1.3496
3.0978 -3.6971 -0.8949
-0.4861 -1.5570 4.7498
Ni Bi Br F
1 2 1 1
Cartesian
0.0000 0.0000 0.0000
-0.2430 -0.7785 2.3749
-1.9318 -1.4553 -0.6748
1.5489 -1.8486 -0.4475
-0.6259 -4.0824 1.2526
```